Run w
Compound: Sc4TlCd
Source: Alexandria
Functional: PBE
Structure: optimized geometry

Values from the calculation:
- D(E_F) (states/eV/f.u.) = 6.9
- space group = F-43m

a b c (Å): 5.917 5.917 5.917
angles (deg): 60.00 60.00 60.00
Sites, in units of the cell vectors:
1 Sc 0.125 0.125 0.125
2 Sc 0.125 0.125 0.625
3 Sc 0.125 0.625 0.125
4 Sc 0.625 0.125 0.125
5 Tl 0.750 0.750 0.750
6 Cd 0.500 0.500 0.500



Run x
Compound: Sc4TlCd
Source: Alexandria
Functional: PBE
Structure: optimized geometry

Values from the calculation:
- D(E_F) (states/eV/f.u.) = 6.2
- space group = C2/m

a b c (Å): 13.320 3.301 6.609
angles (deg): 90.00 104.36 90.00
Sites, in units of the cell vectors:
1 Sc 0.163 0.000 0.330
2 Sc 0.163 0.000 0.834
3 Sc 0.337 0.500 0.166
4 Sc 0.337 0.500 0.670
5 Sc 0.663 0.500 0.330
6 Sc 0.663 0.500 0.834
7 Sc 0.837 0.000 0.166
8 Sc 0.837 0.000 0.670
9 Tl 0.000 0.500 0.500
10 Tl 0.500 0.000 0.500
11 Cd 0.000 0.500 0.000
12 Cd 0.500 0.000 0.000



Run y
Compound: Sc4TlCd
Source: Alexandria
Functional: PBE
Structure: optimized geometry

Values from the calculation:
- D(E_F) (states/eV/f.u.) = 9.0
- space group = R-3m

a b c (Å): 8.419 8.419 8.419
angles (deg): 33.50 33.50 33.50
Sites, in units of the cell vectors:
1 Sc 0.123 0.123 0.123
2 Sc 0.373 0.373 0.373
3 Sc 0.627 0.627 0.627
4 Sc 0.877 0.877 0.877
5 Tl 0.500 0.500 0.500
6 Cd 0.000 0.000 0.000



Which of them is most stable? Easy: run x.



Run w
Compound: Sc2Tl2Cd
Source: Alexandria
Functional: PBE
Structure: optimized geometry

Values from the calculation:
- D(E_F) (states/eV/f.u.) = 3.9
- space group = P4/mbm

a b c (Å): 7.786 7.786 3.978
angles (deg): 90.00 90.00 90.00
Sites, in units of the cell vectors:
1 Sc 0.168 0.332 0.000
2 Sc 0.332 0.832 0.000
3 Sc 0.668 0.168 0.000
4 Sc 0.832 0.668 0.000
5 Tl 0.136 0.636 0.500
6 Tl 0.364 0.136 0.500
7 Tl 0.636 0.864 0.500
8 Tl 0.864 0.364 0.500
9 Cd 0.000 0.000 0.500
10 Cd 0.500 0.500 0.500



Run x
Compound: Sc2Tl2Cd
Source: Alexandria
Functional: PBE
Structure: optimized geometry

Values from the calculation:
- D(E_F) (states/eV/f.u.) = 3.7
- space group = P4/mbm

a b c (Å): 7.875 7.875 4.061
angles (deg): 90.00 90.00 90.00
Sites, in units of the cell vectors:
1 Sc 0.150 0.350 0.000
2 Sc 0.350 0.850 0.000
3 Sc 0.650 0.150 0.000
4 Sc 0.850 0.650 0.000
5 Tl 0.154 0.654 0.500
6 Tl 0.346 0.154 0.500
7 Tl 0.654 0.846 0.500
8 Tl 0.846 0.346 0.500
9 Cd 0.000 0.000 0.000
10 Cd 0.500 0.500 0.000



Which of them is most stable? Easy: run w.



Run w
Compound: Sc4TlCd2
Source: Alexandria
Functional: PBE
Structure: optimized geometry

Values from the calculation:
- D(E_F) (states/eV/f.u.) = 9.3
- space group = R-3m

a b c (Å): 8.491 8.491 8.491
angles (deg): 33.93 33.93 33.93
Sites, in units of the cell vectors:
1 Sc 0.115 0.115 0.115
2 Sc 0.369 0.369 0.369
3 Sc 0.631 0.631 0.631
4 Sc 0.885 0.885 0.885
5 Tl 0.500 0.500 0.500
6 Cd 0.249 0.249 0.249
7 Cd 0.751 0.751 0.751



Run x
Compound: Sc4TlCd2
Source: Alexandria
Functional: PBE
Structure: optimized geometry

Values from the calculation:
- D(E_F) (states/eV/f.u.) = 8.2
- space group = I4/mmm

a b c (Å): 5.487 5.487 12.188
angles (deg): 90.00 90.00 90.00
Sites, in units of the cell vectors:
1 Sc 0.000 0.500 0.000
2 Sc 0.000 0.500 0.250
3 Sc 0.000 0.500 0.500
4 Sc 0.000 0.500 0.750
5 Sc 0.500 0.000 0.000
6 Sc 0.500 0.000 0.250
7 Sc 0.500 0.000 0.500
8 Sc 0.500 0.000 0.750
9 Tl 0.000 0.000 0.000
10 Tl 0.500 0.500 0.500
11 Cd 0.000 0.000 0.370
12 Cd 0.000 0.000 0.630
13 Cd 0.500 0.500 0.130
14 Cd 0.500 0.500 0.870



Which of them is most stable? Easy: run w.



Run w
Compound: TmScCd
Source: Alexandria
Functional: PBE
Structure: optimized geometry

Values from the calculation:
- D(E_F) (states/eV/f.u.) = 3.6
- space group = P4/nmm

a b c (Å): 3.367 3.367 13.372
angles (deg): 90.00 90.00 90.00
Sites, in units of the cell vectors:
1 Tm 0.250 0.250 0.239
2 Tm 0.750 0.750 0.761
3 Sc 0.250 0.250 0.583
4 Sc 0.750 0.750 0.417
5 Cd 0.250 0.250 0.926
6 Cd 0.750 0.750 0.074



Run x
Compound: TmScCd
Source: Alexandria
Functional: PBE
Structure: optimized geometry

Values from the calculation:
- D(E_F) (states/eV/f.u.) = 3.5
- space group = F-43m

a b c (Å): 7.012 7.012 7.012
angles (deg): 90.00 90.00 90.00
Sites, in units of the cell vectors:
1 Tm 0.000 0.000 0.000
2 Tm 0.000 0.500 0.500
3 Tm 0.500 0.000 0.500
4 Tm 0.500 0.500 0.000
5 Sc 0.000 0.000 0.500
6 Sc 0.000 0.500 0.000
7 Sc 0.500 0.000 0.000
8 Sc 0.500 0.500 0.500
9 Cd 0.250 0.250 0.250
10 Cd 0.250 0.750 0.750
11 Cd 0.750 0.250 0.750
12 Cd 0.750 0.750 0.250



Run y
Compound: TmScCd
Source: Alexandria
Functional: PBE
Structure: optimized geometry

Values from the calculation:
- D(E_F) (states/eV/f.u.) = 3.4
- space group = I4mm

a b c (Å): 3.440 3.440 12.718
angles (deg): 90.00 90.00 90.00
Sites, in units of the cell vectors:
1 Tm 0.000 0.000 0.000
2 Tm 0.500 0.500 0.500
3 Sc 0.000 0.000 0.318
4 Sc 0.500 0.500 0.818
5 Cd 0.000 0.000 0.669
6 Cd 0.500 0.500 0.169



Run z
Compound: TmScCd
Source: Alexandria
Functional: PBE
Structure: optimized geometry

Values from the calculation:
- D(E_F) (states/eV/f.u.) = 4.2
- space group = Cmcm

a b c (Å): 3.303 18.588 4.956
angles (deg): 90.00 90.00 90.00
Sites, in units of the cell vectors:
1 Tm 0.000 0.120 0.250
2 Tm 0.000 0.880 0.750
3 Tm 0.500 0.380 0.750
4 Tm 0.500 0.620 0.250
5 Sc 0.000 0.460 0.250
6 Sc 0.000 0.540 0.750
7 Sc 0.500 0.040 0.750
8 Sc 0.500 0.960 0.250
9 Cd 0.000 0.295 0.250
10 Cd 0.000 0.705 0.750
11 Cd 0.500 0.205 0.750
12 Cd 0.500 0.795 0.250



Which of them is most stable? Easy: run y.



Run w
Compound: TmScCd4
Source: Alexandria
Functional: PBE
Structure: optimized geometry

Values from the calculation:
- D(E_F) (states/eV/f.u.) = 4.6
- space group = Pmmm

a b c (Å): 3.305 4.913 8.500
angles (deg): 90.00 90.00 90.00
Sites, in units of the cell vectors:
1 Tm 0.000 0.000 0.000
2 Sc 0.000 0.500 0.500
3 Cd 0.500 0.000 0.336
4 Cd 0.500 0.000 0.664
5 Cd 0.500 0.500 0.170
6 Cd 0.500 0.500 0.830



Run x
Compound: TmScCd4
Source: Alexandria
Functional: PBE
Structure: optimized geometry

Values from the calculation:
- D(E_F) (states/eV/f.u.) = 4.6
- space group = C2/m

a b c (Å): 12.722 3.365 6.646
angles (deg): 90.00 105.04 90.00
Sites, in units of the cell vectors:
1 Tm 0.000 0.000 0.000
2 Tm 0.500 0.500 0.000
3 Sc 0.000 0.000 0.500
4 Sc 0.500 0.500 0.500
5 Cd 0.168 0.500 0.341
6 Cd 0.172 0.500 0.829
7 Cd 0.328 0.000 0.171
8 Cd 0.332 0.000 0.659
9 Cd 0.668 0.000 0.341
10 Cd 0.672 0.000 0.829
11 Cd 0.828 0.500 0.171
12 Cd 0.832 0.500 0.659



Which of them is most stable? Easy: run w.



Run w
Compound: Tm2ScCd2
Source: Alexandria
Functional: PBE
Structure: optimized geometry

Values from the calculation:
- D(E_F) (states/eV/f.u.) = 4.0
- space group = Cmcm

a b c (Å): 13.505 13.505 5.159
angles (deg): 90.00 90.00 164.64
Sites, in units of the cell vectors:
1 Tm 0.044 0.956 0.750
2 Tm 0.237 0.763 0.750
3 Tm 0.763 0.237 0.250
4 Tm 0.956 0.044 0.250
5 Sc 0.152 0.848 0.250
6 Sc 0.848 0.152 0.750
7 Cd 0.359 0.641 0.250
8 Cd 0.443 0.557 0.750
9 Cd 0.557 0.443 0.250
10 Cd 0.641 0.359 0.750



Run x
Compound: Tm2ScCd2
Source: Alexandria
Functional: PBE
Structure: optimized geometry

Values from the calculation:
- D(E_F) (states/eV/f.u.) = 6.2
- space group = Immm

a b c (Å): 3.944 6.970 9.592
angles (deg): 90.00 90.00 90.00
Sites, in units of the cell vectors:
1 Tm 0.000 0.000 0.219
2 Tm 0.000 0.000 0.781
3 Tm 0.500 0.500 0.281
4 Tm 0.500 0.500 0.719
5 Sc 0.000 0.500 0.000
6 Sc 0.500 0.000 0.500
7 Cd 0.000 0.297 0.500
8 Cd 0.000 0.703 0.500
9 Cd 0.500 0.203 0.000
10 Cd 0.500 0.797 0.000



Which of them is most stable? Easy: run w.



Run w
Compound: Tm4ScCd
Source: Alexandria
Functional: PBE
Structure: optimized geometry

Values from the calculation:
- D(E_F) (states/eV/f.u.) = 8.8
- space group = P4/mmm

a b c (Å): 3.466 3.466 13.789
angles (deg): 90.00 90.00 90.00
Sites, in units of the cell vectors:
1 Tm 0.000 0.000 0.154
2 Tm 0.000 0.000 0.846
3 Tm 0.500 0.500 0.333
4 Tm 0.500 0.500 0.667
5 Sc 0.000 0.000 0.500
6 Cd 0.500 0.500 0.000



Run x
Compound: Tm4ScCd
Source: Alexandria
Functional: PBE
Structure: optimized geometry

Values from the calculation:
- D(E_F) (states/eV/f.u.) = 4.3
- space group = P4/mmm

a b c (Å): 5.160 5.160 7.185
angles (deg): 90.00 90.00 90.00
Sites, in units of the cell vectors:
1 Tm 0.000 0.500 0.247
2 Tm 0.000 0.500 0.753
3 Tm 0.500 0.000 0.247
4 Tm 0.500 0.000 0.753
5 Sc 0.000 0.000 0.500
6 Cd 0.500 0.500 0.000



Which of them is most stable? Easy: run w.



Run w
Compound: YTmScCd
Source: Alexandria
Functional: PBE
Structure: optimized geometry

Values from the calculation:
- D(E_F) (states/eV/f.u.) = 5.5
- space group = F-43m

a b c (Å): 7.524 7.524 7.524
angles (deg): 90.00 90.00 90.00
Sites, in units of the cell vectors:
1 Y 0.000 0.000 0.000
2 Y 0.000 0.500 0.500
3 Y 0.500 0.000 0.500
4 Y 0.500 0.500 0.000
5 Tm 0.000 0.000 0.500
6 Tm 0.000 0.500 0.000
7 Tm 0.500 0.000 0.000
8 Tm 0.500 0.500 0.500
9 Sc 0.250 0.250 0.750
10 Sc 0.250 0.750 0.250
11 Sc 0.750 0.250 0.250
12 Sc 0.750 0.750 0.750
13 Cd 0.250 0.250 0.250
14 Cd 0.250 0.750 0.750
15 Cd 0.750 0.250 0.750
16 Cd 0.750 0.750 0.250



Run x
Compound: YTmScCd
Source: Alexandria
Functional: PBE
Structure: optimized geometry

Values from the calculation:
- D(E_F) (states/eV/f.u.) = 5.5
- space group = P4mm

a b c (Å): 3.541 3.541 8.621
angles (deg): 90.00 90.00 90.00
Sites, in units of the cell vectors:
1 Y 0.000 0.000 0.000
2 Tm 0.000 0.000 0.518
3 Sc 0.500 0.500 0.263
4 Cd 0.500 0.500 0.755



Which of them is most stable? Easy: run x.